Model P:
DFT (PBEsol) results for a relaxed structure of ZrSeCl2.

Values from the calculation:
The space group is No. 47.

a b c (Å): 3.3614 4.5953 4.8189
angles (deg): 90.00 90.00 90.00
Last column: nearest neighbours and their distance in Å.
Fractional coordinates of all 4 atoms:
Zr 0.0000 0.5000 0.5000  4 Cl 2.85, 4 Se 2.94
Cl 0.5000 0.0000 0.5000  4 Zr 2.85, 4 Cl 2.94
Cl 0.0000 0.0000 0.0000  4 Se 2.85, 4 Cl 2.94
Se 0.5000 0.5000 0.0000  4 Cl 2.85, 4 Zr 2.94

---

Model Q:
DFT (PBEsol) results for a relaxed structure of ZrSeCl2.

Values from the calculation:
The space group is No. 216.

a b c (Å): 4.7220 4.7220 4.7220
angles (deg): 60.00 60.00 60.00
Last column: nearest neighbours and their distance in Å.
Fractional coordinates of all 4 atoms:
Se 0.5000 0.5000 0.5000  4 Zr 2.89, 4 Cl 2.89
Zr 0.2500 0.2500 0.2500  4 Cl 2.89, 4 Se 2.89
Cl 0.7500 0.7500 0.7500  4 Cl 2.89, 4 Se 2.89
Cl 0.0000 0.0000 0.0000  4 Zr 2.89, 4 Cl 2.89

---

Energetically preferred structure: model Q | next structure: +320 meV/atom

---

Model P:
DFT (PBEsol) results for a relaxed structure of TaSi2Cl.

Values from the calculation:
The space group is No. 71.

a b c (Å): 3.3094 4.1737 5.1929
angles (deg): 113.69 108.58 90.00
Last column: nearest neighbours and their distance in Å.
Fractional coordinates of all 4 atoms:
Cl 0.0000 0.5000 0.0000  4 Ta 2.66, 8 Si 2.86-2.98
Si 0.2387 0.2387 0.4773  4 Si 2.67, 2 Ta 2.70, 4 Cl 2.86-2.98
Si 0.7613 0.7613 0.5227  4 Si 2.67, 2 Ta 2.70, 4 Cl 2.86-2.98
Ta 0.5000 0.0000 0.0000  4 Cl 2.66, 4 Si 2.70

---

Model Q:
DFT (PBEsol) results for a relaxed structure of TaSi2Cl.

Values from the calculation:
The space group is No. 123.

a b c (Å): 3.2954 3.2954 6.3113
angles (deg): 90.00 90.00 90.00
Last column: nearest neighbours and their distance in Å.
Fractional coordinates of all 4 atoms:
Si 0.0000 0.0000 0.8030  1 Si 2.49, 4 Ta 2.64
Si 0.0000 0.0000 0.1970  1 Si 2.49, 4 Ta 2.64
Cl 0.5000 0.5000 0.5000  8 Si 3.01, 2 Ta 3.16, 4 Cl 3.30
Ta 0.5000 0.5000 0.0000  8 Si 2.64

---

Model R:
DFT (PBEsol) results for a relaxed structure of TaSi2Cl.

Values from the calculation:
The space group is No. 216.

a b c (Å): 4.4445 4.4445 4.4445
angles (deg): 60.00 60.00 60.00
Last column: nearest neighbours and their distance in Å.
Fractional coordinates of all 4 atoms:
Cl 0.5000 0.5000 0.5000  4 Si 2.72, 4 Ta 2.72
Ta 0.2500 0.2500 0.2500  4 Cl 2.72, 4 Si 2.72
Si 0.7500 0.7500 0.7500  4 Cl 2.72, 4 Si 2.72
Si 0.0000 0.0000 0.0000  4 Ta 2.72, 4 Si 2.72

---

Energetically preferred structure: model Q | next structure: +179 meV/atom

---

Model P:
DFT (PBEsol) results for a relaxed structure of Si2TcCl.

Values from the calculation:
The space group is No. 65.

a b c (Å): 2.9072 4.5145 4.5145
angles (deg): 107.99 90.00 90.00
Last column: nearest neighbours and their distance in Å.
Fractional coordinates of all 4 atoms:
Tc 0.5000 0.0000 0.0000  2 Cl 2.65, 8 Si 2.68, 2 Tc 2.91
Si 0.0000 0.0000 0.5000  4 Si 2.65-2.91, 4 Cl 2.68, 4 Tc 2.68
Si 0.0000 0.5000 0.0000  4 Si 2.65-2.91, 4 Tc 2.68, 4 Cl 2.68
Cl 0.5000 0.5000 0.5000  2 Tc 2.65, 8 Si 2.68, 2 Cl 2.91

---

Model Q:
DFT (PBEsol) results for a relaxed structure of Si2TcCl.

Values from the calculation:
The space group is No. 122.

a b c (Å): 5.7504 5.7504 6.6946
angles (deg): 115.43 115.43 90.00
Last column: nearest neighbours and their distance in Å.
Fractional coordinates of all 8 atoms:
Si 0.1250 0.0741 0.7500  2 Tc 2.27
Si 0.6250 0.6759 0.7500  2 Tc 2.27
Si 0.3241 0.8750 0.2500  2 Tc 2.27
Si 0.9259 0.3750 0.2500  2 Tc 2.27
Cl 0.7500 0.2500 0.5000  4 Si 2.61
Cl 0.5000 0.5000 0.0000  4 Si 2.61
Tc 0.2500 0.7500 0.5000  4 Si 2.27
Tc 0.0000 0.0000 0.0000  4 Si 2.27

---

Energetically preferred structure: model P | next structure: +138 meV/atom

---

Model P:
DFT (PBEsol) results for a relaxed structure of SiTcCl2.

Values from the calculation:
The space group is No. 166.

a b c (Å): 2.9894 2.9894 9.1681
angles (deg): 80.62 80.62 60.00
Last column: nearest neighbours and their distance in Å.
Fractional coordinates of all 4 atoms:
Tc 0.0000 0.0000 0.0000  6 Cl 2.44
Cl 0.7303 0.7303 0.8090  3 Tc 2.44
Cl 0.2697 0.2697 0.1910  3 Tc 2.44
Si 0.5000 0.5000 0.5000  6 Si 2.99, 6 Cl 3.27

---

Model Q:
DFT (PBEsol) results for a relaxed structure of SiTcCl2.

Values from the calculation:
The space group is No. 119.

a b c (Å): 4.0717 4.6734 4.0717
angles (deg): 64.17 90.00 115.83
Last column: nearest neighbours and their distance in Å.
Fractional coordinates of all 4 atoms:
Tc 0.7500 0.5000 0.7500  4 Si 2.74, 8 Cl 2.74-2.88
Cl 0.2500 0.5000 0.2500  4 Cl 2.74, 4 Si 2.74, 4 Tc 2.88
Cl 0.0000 0.0000 0.0000  4 Cl 2.74, 4 Tc 2.74, 4 Si 2.88
Si 0.5000 0.0000 0.5000  8 Cl 2.74-2.88, 4 Tc 2.74

---

Model R:
DFT (PBEsol) results for a relaxed structure of SiTcCl2.

Values from the calculation:
The space group is No. 99.

a b c (Å): 3.0477 3.0461 8.5455
angles (deg): 90.00 90.00 90.00
Last column: nearest neighbours and their distance in Å.
Fractional coordinates of all 4 atoms:
Cl 0.0000 0.0000 0.0605  1 Si 2.04
Cl 0.5000 0.5000 0.6990  1 Tc 2.21
Tc 0.5000 0.5000 0.4408  1 Cl 2.21, 4 Si 2.47
Si 0.0000 0.0000 0.2997  1 Cl 2.04

---

Energetically preferred structure: model R | next structure: +616 meV/atom